Density functional theory data (PBE) for Sc4GaCu2 after structural relaxation.

abc: 4.5213 4.5213 24.8917
angles: 90.00 90.00 120.00
Space group R-3m (No. 166, hexagonal axes)
Inequivalent atoms, fractional coordinates:
Sc: 0.0000 0.0000 0.1210
Sc: 0.0000 0.0000 0.2947
Ga: 0.0000 0.0000 0.5000
Cu: 0.0000 0.0000 0.4033

E_tot (eV per atom): -5.335
Fermi-level density of states (states/eV/atom): 1.378